Computed, not measured: a geometry-optimized RbMnCo2 structure at the GGA-PBE level of DFT.

POSCAR file:
```
RbMnCo2
1.0
0.0000 3.2341 3.2341
3.2341 0.0000 3.2341
3.2341 3.2341 0.0000
Rb Mn Co
1 1 2
direct
0.0000 0.0000 0.0000
0.5000 0.5000 0.5000
0.2500 0.2500 0.2500
0.7500 0.7500 0.7500
```

## Properties
calculated volume	16.91	Å³ per atom
symmetry	Fm-3m
offset from the most stable computed form	0.122	eV per atom
energy relative to the elements	5.84	eV/f.u.